The following is a DFT calculation (PBE) of AcTmInGa after structural relaxation.

Properties
The total magnetization comes out at 0.0 μB/cell. As for the energy of formation from the pure elements: -0.3984 eV per atom.

Lattice parameters (Å, degrees): 7.6821 7.6821 7.6821 90.00 90.00 90.00
Closest atoms and distances in Å follow each position.
Space group F-43m (No. 216)
Unique sites:
Ac: 0.0000 0.0000 0.0000 x4  4 In 3.33, 4 Ga 3.33
Tm: 0.0000 0.0000 0.5000 x4  4 In 3.33, 4 Ga 3.33
In: 0.2500 0.2500 0.7500 x4  4 Ac 3.33, 4 Tm 3.33
Ga: 0.2500 0.2500 0.2500 x4  4 Ac 3.33, 4 Tm 3.33


The following is a DFT calculation (PBE) of AcZnInGa after structural relaxation.

Properties
The total magnetization comes out at 0.0 μB/cell. As for the energy of formation from the pure elements: -0.2701 eV per atom.

Lattice parameters (Å, degrees): 7.3983 7.3983 7.3983 90.00 90.00 90.00
Closest atoms and distances in Å follow each position.
Space group F-43m (No. 216)
Unique sites:
Ac: 0.0000 0.0000 0.0000 x4  4 Zn 3.20, 4 Ga 3.20
Zn: 0.2500 0.2500 0.7500 x4  4 Ac 3.20, 4 In 3.20
In: 0.0000 0.0000 0.5000 x4  4 Ga 3.20, 4 Zn 3.20
Ga: 0.2500 0.2500 0.2500 x4  4 Ac 3.20, 4 In 3.20


The following is a DFT calculation (PBE) of Ac2Zn4InGa3 after structural relaxation.

Properties
The total magnetization comes out at 0.0 μB/cell. As for the energy of formation from the pure elements: -0.4469 eV per atom.

Lattice parameters (Å, degrees): 4.4782 4.4782 10.9297 90.00 90.00 90.00
Closest atoms and distances in Å follow each position.
Space group P-4m2 (No. 115)
Unique sites:
Ac: 0.0000 0.5000 0.2384 x2  6 Ga 3.40-3.63, 8 Zn 3.42-3.44, 2 In 3.63
Zn: 0.0000 0.0000 0.0000 x1  4 Ga 2.63
Zn: 0.0000 0.5000 0.6437 x2  3 Ga 2.52-2.74, 2 In 2.74
Zn: 0.5000 0.5000 0.0000 x1  4 Ga 2.63
In: 0.0000 0.0000 0.5000 x1  4 Zn 2.74
Ga: 0.0000 0.5000 0.8744 x2  5 Zn 2.52-2.63
Ga: 0.5000 0.5000 0.5000 x1  4 Zn 2.74


The following is a DFT calculation (PBE) of Ac2ZnIn6Ga after structural relaxation.

Properties
The total magnetization comes out at 0.0 μB/cell. As for the energy of formation from the pure elements: -0.1595 eV per atom.

Lattice parameters (Å, degrees): 7.2821 7.2821 37.3492 90.00 90.00 120.00
Closest atoms and distances in Å follow each position.
Space group R-3m (No. 166, hexagonal axes)
Unique sites:
Ac: 0.0000 0.0000 0.1099 x6  12 In 3.59-3.79
Ac: 0.0000 0.0000 0.2863 x6  12 In 3.65-3.67
Zn: 0.0000 0.0000 0.0000 x3  6 In 2.73
Zn: 0.0000 0.0000 0.5000 x3  2 Ga 2.66, 6 In 2.78
In: 0.0396 0.5198 0.2960 x18  1 Zn 2.73, 1 Ga 2.86
In: 0.0598 0.5299 0.8670 x18  1 Zn 2.78, 1 Ga 2.85, 2 In 2.99
Ga: 0.0000 0.0000 0.4288 x6  1 Zn 2.66, 6 In 2.85-2.86


The following is a DFT calculation (PBE) of Ac2Zn4In3Ga after structural relaxation.

Properties
The total magnetization comes out at 0.0 μB/cell. As for the energy of formation from the pure elements: -0.3690 eV per atom.

Lattice parameters (Å, degrees): 4.6138 4.6138 11.1829 90.00 90.00 90.00
Closest atoms and distances in Å follow each position.
Space group P-4m2 (No. 115)
Unique sites:
Ac: 0.0000 0.5000 0.2481 x2  8 Zn 3.52-3.64, 6 In 3.53-3.61, 2 Ga 3.61
Zn: 0.0000 0.0000 0.5000 x1  4 In 2.74
Zn: 0.0000 0.5000 0.8702 x2  3 In 2.66-2.73, 2 Ga 2.73
Zn: 0.5000 0.5000 0.5000 x1  4 In 2.74
In: 0.0000 0.0000 0.0000 x1  4 Zn 2.73
In: 0.0000 0.5000 0.6324 x2  5 Zn 2.66-2.74
Ga: 0.5000 0.5000 0.0000 x1  4 Zn 2.73


The following is a DFT calculation (PBE) of AcZnInGa2 after structural relaxation.

Properties
The total magnetization comes out at 0.0 μB/cell. As for the energy of formation from the pure elements: -0.4170 eV per atom.

Lattice parameters (Å, degrees): 4.5542 4.5542 11.1622 90.00 90.00 90.00
Closest atoms and distances in Å follow each position.
Space group I-4m2 (No. 119)
Unique sites:
Ac: 0.0000 0.0000 0.0000 x2  8 Ga 3.46, 4 In 3.60, 4 Zn 3.60
Zn: 0.0000 0.5000 0.7500 x2  4 Ga 2.74
In: 0.0000 0.5000 0.2500 x2  4 Ga 2.74
Ga: 0.0000 0.0000 0.3866 x4  1 Ga 2.53, 2 In 2.74, 2 Zn 2.74


The following is a DFT calculation (PBE) of Ac4GaIr2 after structural relaxation.

Properties
The total magnetization comes out at 0.0 μB/cell. For the polymorph energy (0 for the lowest one), the calculation gives 75 meV per atom. As for the energy of formation from the pure elements: -0.4888 eV per atom.

Lattice parameters (Å, degrees): 5.1345 5.1345 28.9530 90.00 90.00 120.00
Closest atoms and distances in Å follow each position.
Space group R-3m (No. 166, hexagonal axes)
Unique sites:
Ac: 0.0000 0.0000 0.1178 x6  3 Ir 3.22, 3 Ga 3.29
Ac: 0.0000 0.0000 0.2942 x6  4 Ir 3.13-3.28
Ga: 0.0000 0.0000 0.5000 x3  2 Ir 2.68
Ir: 0.0000 0.0000 0.4076 x6  1 Ga 2.68


The following is a DFT calculation (PBE) of Ac3Ga2Ir after structural relaxation.

Properties
The total magnetization comes out at 0.0 μB/cell. For the polymorph energy (0 for the lowest one), the calculation gives 0 meV per atom. As for the energy of formation from the pure elements: -0.5565 eV per atom.

Lattice parameters (Å, degrees): 12.8366 4.3832 12.9121 90.00 90.00 90.00
Closest atoms and distances in Å follow each position.
Space group Pnma (No. 62)
Unique sites:
Ac: 0.0514 0.2500 0.1313 x4  5 Ga 3.25-3.53, 1 Ir 3.33
Ac: 0.1162 0.7500 0.5508 x4  3 Ir 3.15-3.32, 5 Ga 3.28-3.36
Ac: 0.2245 0.2500 0.7951 x4  2 Ir 3.05, 3 Ga 3.26-3.39
Ga: 0.0225 0.7500 0.3147 x4  2 Ir 2.72
Ga: 0.1940 0.7500 0.9927 x4  1 Ir 2.69
Ir: 0.1319 0.2500 0.3765 x4  3 Ga 2.69-2.72


The following is a DFT calculation (PBE) of Ac3Ga3Ir2 after structural relaxation.

Properties
The total magnetization comes out at 0.0 μB/cell. For the polymorph energy (0 for the lowest one), the calculation gives 0 meV per atom. As for the energy of formation from the pure elements: -0.6604 eV per atom.

Lattice parameters (Å, degrees): 4.1581 11.9797 16.8876 90.00 90.00 90.00
Closest atoms and distances in Å follow each position.
Space group Cmcm (No. 63)
Unique sites:
Ac: 0.0000 0.0736 0.2500 x4  4 Ir 3.16, 5 Ga 3.24-3.45
Ac: 0.0000 0.3437 0.0898 x8  2 Ir 3.12, 7 Ga 3.33-3.48
Ga: 0.0000 0.0690 0.0584 x8  2 Ir 2.55, 1 Ga 2.57
Ga: 0.0000 0.2146 0.7500 x4  2 Ir 2.68
Ir: 0.0000 0.3452 0.6212 x8  3 Ga 2.55-2.68


The following is a DFT calculation (PBE) of Ac2Ga5Ir4 after structural relaxation.

Properties
The total magnetization comes out at 0.0 μB/cell. As for the energy of formation from the pure elements: -0.5635 eV per atom.

Lattice parameters (Å, degrees): 5.6996 10.5675 14.9365 90.00 90.00 90.00
Closest atoms and distances in Å follow each position.
Space group Fmmm (No. 69)
Unique sites:
Ac: 0.0000 0.0000 0.1532 x8  6 Ir 3.29-3.66, 6 Ga 3.33-3.66
Ga: 0.0000 0.0000 0.5000 x4  4 Ir 2.48
Ga: 0.2500 0.2500 0.0000 x8  4 Ir 2.59, 2 Ga 2.85
Ga: 0.2500 0.2500 0.2500 x8  4 Ir 2.55, 2 Ga 2.85
Ir: 0.0000 0.1517 0.3733 x16  5 Ga 2.48-2.59


The following is a DFT calculation (PBE) of Ac3Ga2Ir after structural relaxation.

Properties
The total magnetization comes out at 0.0 μB/cell. For the polymorph energy (0 for the lowest one), the calculation gives 264 meV per atom. As for the energy of formation from the pure elements: -0.2930 eV per atom.

Lattice parameters (Å, degrees): 16.4808 3.9901 12.5497 90.00 111.43 90.00
Closest atoms and distances in Å follow each position.
Space group C2/m (No. 12)
Unique sites:
Ac: 0.0348 0.0000 0.2613 x4  3 Ga 3.10-3.21, 2 Ir 3.12
Ac: 0.1264 0.5000 0.0156 x4  3 Ga 3.17-3.21
Ac: 0.2177 0.0000 0.6313 x4  3 Ga 3.09-3.23, 2 Ir 3.14
Ga: 0.0674 0.5000 0.4737 x4  1 Ga 2.54, 2 Ir 2.66-2.76
Ga: 0.1667 0.0000 0.8454 x4  2 Ir 2.69
Ir: 0.0959 0.5000 0.6968 x4  4 Ga 2.66-2.76


The following is a DFT calculation (PBE) of AcGaIr2 after structural relaxation.

Properties
The total magnetization comes out at 0.0 μB/cell. As for the energy of formation from the pure elements: -0.3868 eV per atom.

Lattice parameters (Å, degrees): 4.2395 4.2395 9.7978 90.00 90.00 90.00
Closest atoms and distances in Å follow each position.
Space group P4/nmm (No. 129, origin choice 2)
Unique sites:
Ac: 0.2500 0.2500 0.1986 x2  5 Ir 3.10, 4 Ga 3.42
Ga: 0.2500 0.2500 0.6335 x2  5 Ir 2.44-2.49
Ir: 0.2500 0.2500 0.8823 x2  1 Ga 2.44
Ir: 0.2500 0.7500 0.5000 x2  4 Ga 2.49


The following is a DFT calculation (PBE) of Ac3GaIr3 after structural relaxation.

Properties
The total magnetization comes out at 0.0 μB/cell. For the polymorph energy (0 for the lowest one), the calculation gives 158 meV per atom. As for the energy of formation from the pure elements: -0.4767 eV per atom.

Lattice parameters (Å, degrees): 8.9494 8.9494 6.0033 90.00 90.00 120.00
Closest atoms and distances in Å follow each position.
Space group P6_3/m (No. 176)
Unique sites:
Ac: 0.0577 0.3549 0.2500 x6  5 Ir 3.01-3.11
Ga: 0.3333 0.6667 0.7500 x2  3 Ir 2.46
Ir: 0.0679 0.3833 0.7500 x6  1 Ga 2.46


The following is a DFT calculation (PBE) of Ac3Ga7Ir2 after structural relaxation.

Properties
The total magnetization comes out at 0.0 μB/cell. As for the energy of formation from the pure elements: -0.5889 eV per atom.

Lattice parameters (Å, degrees): 4.5149 4.5717 13.7291 90.00 99.44 90.00
Closest atoms and distances in Å follow each position.
Space group P2/m (No. 10)
Unique sites:
Ac: 0.0000 0.0000 0.0000 x1  12 Ga 3.21-3.29, 2 Ir 3.50
Ac: 0.3213 0.5000 0.6405 x2  10 Ga 3.38-3.50, 4 Ir 3.49
Ga: 0.0863 0.5000 0.1742 x2  2 Ir 2.56
Ga: 0.2219 0.0000 0.4445 x2  1 Ir 2.52, 2 Ga 2.71
Ga: 0.4135 0.0000 0.8271 x2  2 Ir 2.54
Ga: 0.5000 0.5000 0.0000 x1  4 Ac 3.21, 8 Ga 3.26-3.27
Ir: 0.1290 0.0000 0.2587 x2  5 Ga 2.52-2.56


The following is a DFT calculation (PBE) of Ac8GaIr2 after structural relaxation.

Properties
The total magnetization comes out at 0.0 μB/cell. As for the energy of formation from the pure elements: -0.2682 eV per atom.

Lattice parameters (Å, degrees): 9.0999 13.8246 6.6798 90.00 105.75 90.00
Closest atoms and distances in Å follow each position.
Space group Cm (No. 8)
Unique sites:
Ac: 0.0000 0.0000 0.0000 x2  2 Ir 3.36, 1 Ga 3.60
Ac: 0.0715 0.3661 0.7936 x4  2 Ir 2.99-3.02
Ac: 0.1512 0.1354 0.5827 x4  2 Ir 3.03-3.04, 1 Ga 3.32
Ac: 0.2392 0.5000 0.4058 x2  1 Ga 3.30, 2 Ir 3.32
Ac: 0.3561 0.2242 0.1931 x4  1 Ga 3.31, 2 Ir 3.51-3.56
Ga: 0.3703 0.0000 0.3717 x2  8 Ac 3.30-3.60
Ir: 0.3624 0.3076 0.6998 x4  5 Ac 2.99-3.32


The following is a DFT calculation (PBE) of Ac4GaIr2 after structural relaxation.

Properties
The total magnetization comes out at 0.0 μB/cell. For the polymorph energy (0 for the lowest one), the calculation gives 0 meV per atom. As for the energy of formation from the pure elements: -0.5638 eV per atom.

Lattice parameters (Å, degrees): 13.4678 4.3567 15.9819 90.00 90.00 90.00
Closest atoms and distances in Å follow each position.
Space group Pnma (No. 62)
Unique sites:
Ac: 0.0322 0.2500 0.2131 x4  3 Ir 2.96-3.02
Ac: 0.0875 0.7500 0.4283 x4  3 Ir 3.00-3.01
Ac: 0.1230 0.2500 0.9687 x4  3 Ir 2.99-3.02
Ac: 0.2035 0.2500 0.6609 x4  3 Ir 3.02-3.03
Ga: 0.2358 0.7500 0.8292 x4  8 Ac 3.47-3.67
Ir: 0.0580 0.7500 0.6140 x4  6 Ac 3.00-3.02
Ir: 0.0851 0.7500 0.0960 x4  6 Ac 2.96-3.03


The following is a DFT calculation (PBE) of AcGa5Ir3 after structural relaxation.

Properties
The total magnetization comes out at 0.0 μB/cell. As for the energy of formation from the pure elements: -0.5101 eV per atom.

Lattice parameters (Å, degrees): 4.0067 13.2433 12.8877 90.00 90.00 90.00
Closest atoms and distances in Å follow each position.
Space group Cmcm (No. 63)
Unique sites:
Ac: 0.0000 0.1688 0.2500 x4  6 Ir 3.36-3.44, 4 Ga 3.55
Ga: 0.0000 0.0000 0.0000 x4  4 Ir 2.53, 2 Ga 2.81
Ga: 0.0000 0.2029 0.5641 x8  4 Ir 2.50-2.72
Ga: 0.0000 0.4470 0.1506 x8  1 Ga 2.56, 4 Ir 2.57-2.59
Ir: 0.0000 0.1274 0.7500 x4  6 Ga 2.57-2.60
Ir: 0.0000 0.3901 0.5415 x8  7 Ga 2.50-2.72


The following is a DFT calculation (PBE) of AcGa3Ir2 after structural relaxation.

Properties
The total magnetization comes out at 0.0 μB/cell. For the polymorph energy (0 for the lowest one), the calculation gives 47 meV per atom. As for the energy of formation from the pure elements: -0.5648 eV per atom.

Lattice parameters (Å, degrees): 15.9787 4.2296 7.9246 90.00 115.21 90.00
Closest atoms and distances in Å follow each position.
Space group C2/m (No. 12)
Unique sites:
Ac: 0.1540 0.0000 0.0814 x4  7 Ir 3.31-3.62, 8 Ga 3.43-3.58
Ga: 0.0320 0.0000 0.3601 x4  3 Ir 2.54, 1 Ga 2.81
Ga: 0.1077 0.5000 0.7076 x4  3 Ir 2.52-2.56, 1 Ga 2.81
Ga: 0.1805 0.5000 0.4411 x4  4 Ir 2.58-2.69, 1 Ga 2.81
Ir: 0.0148 0.5000 0.1705 x4  4 Ga 2.52-2.60, 1 Ir 2.54
Ir: 0.1836 0.0000 0.6533 x4  6 Ga 2.54-2.69


The following is a DFT calculation (PBE) of Ac2Ga4Ir3 after structural relaxation.

Properties
The total magnetization comes out at 0.0 μB/cell. As for the energy of formation from the pure elements: -0.5888 eV per atom.

Lattice parameters (Å, degrees): 6.0999 15.4893 7.6893 90.00 90.00 90.00
Closest atoms and distances in Å follow each position.
Space group Cmce (No. 64)
Unique sites:
Ac: 0.0000 0.1202 0.0891 x8  4 Ir 3.12-3.42, 8 Ga 3.18-3.36
Ga: 0.0000 0.1758 0.4934 x8  5 Ir 2.60-2.88
Ga: 0.2500 0.0559 0.7500 x8  3 Ir 2.59-2.60
Ir: 0.0000 0.0000 0.5000 x4  6 Ga 2.60-2.72
Ir: 0.2500 0.2232 0.7500 x8  5 Ga 2.59-2.88


The following is a DFT calculation (PBE) of Ac2Ga3Ir2 after structural relaxation.

Properties
The total magnetization comes out at 0.0 μB/cell. For the polymorph energy (0 for the lowest one), the calculation gives 0 meV per atom. As for the energy of formation from the pure elements: -0.6499 eV per atom.

Lattice parameters (Å, degrees): 11.0927 4.1869 7.5914 90.00 117.72 90.00
Closest atoms and distances in Å follow each position.
Space group C2/m (No. 12)
Unique sites:
Ac: 0.1392 0.0000 0.2646 x4  4 Ir 3.13-3.37, 3 Ga 3.30-3.34
Ga: 0.0000 0.5000 0.5000 x2  4 Ir 2.61
Ga: 0.1497 0.5000 0.9364 x4  3 Ir 2.67-2.69, 3 Ga 2.88-2.94
Ir: 0.1327 0.0000 0.7042 x4  5 Ga 2.61-2.69